Entry 1:
# KMnTe2 PBEsol relaxed
# **ΔE_f (raw)**: 0.01 eV/atom
# **Fermi-level density of states**: 2.77 states/eV per cell
data_KMnTe2
_chemical_formula_sum 'K2 Mn2 Te4'
_cell_length_a 8.2354
_cell_length_b 8.2343
_cell_length_c 3.1458
_cell_angle_alpha 90.00
_cell_angle_beta 90.74
_cell_angle_gamma 90.00
_space_group_name_H-M_alt 'P 1'
_space_group_IT_number 1
loop_
_space_group_symop_operation_xyz
'x,y,z'
loop_
_atom_site_label
_atom_site_type_symbol
_atom_site_fract_x
_atom_site_fract_y
_atom_site_fract_z
K1 K 0.0000 0.0000 0.0000
K2 K 0.5000 0.5000 0.0000
Mn1 Mn 0.0000 0.5000 0.0000
Mn2 Mn 0.5000 0.0000 0.0000
Te1 Te 0.2500 0.2500 0.5000
Te2 Te 0.2500 0.7500 0.5000
Te3 Te 0.7500 0.2500 0.5000
Te4 Te 0.7500 0.7500 0.5000



Entry 2:
# LiVF4 PBEsol relaxed
# **ΔE_f (raw)**: -2.82 eV/atom
# **Fermi-level density of states**: 41.77 states/eV per cell
data_LiVF4
_chemical_formula_sum 'Li8 V8 F32'
_cell_length_a 10.4360
_cell_length_b 7.2726
_cell_length_c 7.3360
_cell_angle_alpha 90.00
_cell_angle_beta 90.00
_cell_angle_gamma 90.00
_space_group_name_H-M_alt 'P 1'
_space_group_IT_number 1
loop_
_space_group_symop_operation_xyz
'x,y,z'
loop_
_atom_site_label
_atom_site_type_symbol
_atom_site_fract_x
_atom_site_fract_y
_atom_site_fract_z
Li1 Li 0.0245 0.2500 0.0348
Li2 Li 0.0264 0.2500 0.6275
Li3 Li 0.4736 0.7500 0.1275
Li4 Li 0.4755 0.7500 0.5348
Li5 Li 0.5245 0.2500 0.4652
Li6 Li 0.5264 0.2500 0.8725
Li7 Li 0.9736 0.7500 0.3725
Li8 Li 0.9755 0.7500 0.9652
V1 V 0.2408 0.5025 0.8813
V2 V 0.2408 0.9975 0.8813
V3 V 0.2592 0.0025 0.3813
V4 V 0.2592 0.4975 0.3813
V5 V 0.7408 0.5025 0.6187
V6 V 0.7408 0.9975 0.6187
V7 V 0.7592 0.0025 0.1187
V8 V 0.7592 0.4975 0.1187
F1 F 0.0669 0.0755 0.8402
F2 F 0.0669 0.4245 0.8402
F3 F 0.1015 0.0781 0.4599
F4 F 0.1015 0.4219 0.4599
F5 F 0.1613 0.7500 0.9155
F6 F 0.1960 0.7500 0.3367
F7 F 0.2087 0.0660 0.1344
F8 F 0.2087 0.4340 0.1344
F9 F 0.2913 0.5660 0.6344
F10 F 0.2913 0.9340 0.6344
F11 F 0.3040 0.2500 0.8367
F12 F 0.3387 0.2500 0.4155
F13 F 0.3985 0.5781 0.9599
F14 F 0.3985 0.9219 0.9599
F15 F 0.4331 0.5755 0.3402
F16 F 0.4331 0.9245 0.3402
F17 F 0.5669 0.0755 0.6598
F18 F 0.5669 0.4245 0.6598
F19 F 0.6015 0.0781 0.0401
F20 F 0.6015 0.4219 0.0401
F21 F 0.6613 0.7500 0.5845
F22 F 0.6960 0.7500 0.1633
F23 F 0.7087 0.0660 0.3656
F24 F 0.7087 0.4340 0.3656
F25 F 0.7913 0.5660 0.8656
F26 F 0.7913 0.9340 0.8656
F27 F 0.8040 0.2500 0.6633
F28 F 0.8387 0.2500 0.0845
F29 F 0.8985 0.5781 0.5401
F30 F 0.8985 0.9219 0.5401
F31 F 0.9331 0.5755 0.1598
F32 F 0.9331 0.9245 0.1598



Entry 3:
# SrLaPd2 PBEsol relaxed
# **Fermi-level density of states**: 8.43 states/eV per cell
# **Energy of formation from the pure elements**: -13.90 kcal/mol of atoms
data_SrLaPd2
_chemical_formula_sum 'Sr4 La4 Pd8'
_cell_length_a 7.2468
_cell_length_b 7.2468
_cell_length_c 7.2468
_cell_angle_alpha 90.00
_cell_angle_beta 90.00
_cell_angle_gamma 90.00
_space_group_name_H-M_alt 'P 1'
_space_group_IT_number 1
loop_
_space_group_symop_operation_xyz
'x,y,z'
loop_
_atom_site_label
_atom_site_type_symbol
_atom_site_fract_x
_atom_site_fract_y
_atom_site_fract_z
Sr1 Sr 0.0000 0.0000 0.0000
Sr2 Sr 0.0000 0.5000 0.5000
Sr3 Sr 0.5000 0.0000 0.5000
Sr4 Sr 0.5000 0.5000 0.0000
La1 La 0.0000 0.0000 0.5000
La2 La 0.0000 0.5000 0.0000
La3 La 0.5000 0.0000 0.0000
La4 La 0.5000 0.5000 0.5000
Pd1 Pd 0.2500 0.2500 0.2500
Pd2 Pd 0.2500 0.2500 0.7500
Pd3 Pd 0.2500 0.7500 0.2500
Pd4 Pd 0.2500 0.7500 0.7500
Pd5 Pd 0.7500 0.2500 0.2500
Pd6 Pd 0.7500 0.2500 0.7500
Pd7 Pd 0.7500 0.7500 0.2500
Pd8 Pd 0.7500 0.7500 0.7500



Entry 4:
# SrSnPS2 PBEsol relaxed
# **ΔE_f (raw)**: -0.42 eV/atom
# **Fermi-level density of states**: 4.09 states/eV per cell
data_SrSnPS2
_chemical_formula_sum 'Sr1 Sn1 P1 S2'
_cell_length_a 5.0493
_cell_length_b 5.0493
_cell_length_c 4.9264
_cell_angle_alpha 90.00
_cell_angle_beta 90.00
_cell_angle_gamma 90.00
_space_group_name_H-M_alt 'P 1'
_space_group_IT_number 1
loop_
_space_group_symop_operation_xyz
'x,y,z'
loop_
_atom_site_label
_atom_site_type_symbol
_atom_site_fract_x
_atom_site_fract_y
_atom_site_fract_z
Sr1 Sr 0.0000 0.0000 0.0000
Sn1 Sn 0.5000 0.5000 0.5000
P1 P 0.5000 0.5000 0.0000
S1 S 0.0000 0.5000 0.5000
S2 S 0.5000 0.0000 0.5000



Entry 5:
# Cr2TeSe PBEsol relaxed
# **ΔE_f (raw)**: 0.14 eV/atom
# **Fermi-level density of states**: 10.49 states/eV per cell
data_Cr2TeSe
_chemical_formula_sum 'Cr8 Te4 Se4'
_cell_length_a 5.8671
_cell_length_b 5.8671
_cell_length_c 12.0634
_cell_angle_alpha 90.00
_cell_angle_beta 90.00
_cell_angle_gamma 90.00
_space_group_name_H-M_alt 'P 1'
_space_group_IT_number 1
loop_
_space_group_symop_operation_xyz
'x,y,z'
loop_
_atom_site_label
_atom_site_type_symbol
_atom_site_fract_x
_atom_site_fract_y
_atom_site_fract_z
Cr1 Cr 0.2196 0.2500 0.1250
Cr2 Cr 0.2500 0.7196 0.3750
Cr3 Cr 0.2500 0.7804 0.8750
Cr4 Cr 0.2804 0.2500 0.6250
Cr5 Cr 0.7196 0.7500 0.6250
Cr6 Cr 0.7500 0.2196 0.8750
Cr7 Cr 0.7500 0.2804 0.3750
Cr8 Cr 0.7804 0.7500 0.1250
Te1 Te 0.0000 0.0000 0.5000
Te2 Te 0.0000 0.5000 0.7500
Te3 Te 0.5000 0.0000 0.2500
Te4 Te 0.5000 0.5000 0.0000
Se1 Se 0.0000 0.0000 0.0000
Se2 Se 0.0000 0.5000 0.2500
Se3 Se 0.5000 0.0000 0.7500
Se4 Se 0.5000 0.5000 0.5000



Entry 6:
# Sr2Br PBEsol relaxed
# **ΔE_f (raw)**: -0.90 eV/atom
# **Fermi-level density of states**: 4.78 states/eV per cell
data_Sr2Br
_chemical_formula_sum 'Sr4 Br2'
_cell_length_a 4.0114
_cell_length_b 4.1909
_cell_length_c 15.7881
_cell_angle_alpha 90.00
_cell_angle_beta 90.00
_cell_angle_gamma 90.00
_space_group_name_H-M_alt 'P 1'
_space_group_IT_number 1
loop_
_space_group_symop_operation_xyz
'x,y,z'
loop_
_atom_site_label
_atom_site_type_symbol
_atom_site_fract_x
_atom_site_fract_y
_atom_site_fract_z
Sr1 Sr 0.0000 0.0000 0.1536
Sr2 Sr 0.0000 0.0000 0.8464
Sr3 Sr 0.5000 0.5000 0.3464
Sr4 Sr 0.5000 0.5000 0.6536
Br1 Br 0.0000 0.5000 0.5000
Br2 Br 0.5000 0.0000 0.0000